A relaxed structure of Li2FeCO. Source: Alexandria via LeMat-Bulk, functional PBE+U.

Values from the calculation:
- DOS(E_F) (states/eV per cell) = 2.06
- total moment (μB per formula unit) = 3.56
- electronic total energy (eV per cell) = -23.9

Unit cell a=3.562 b=4.093 c=3.562 alpha=90.00 beta=90.00 gamma=90.00
Site moments in Bohr magnetons follow the coordinates.
Fractional positions:
Fe  0.000  0.500  0.000  -3.83
C  0.500  0.500  0.500  0.17
Li  0.000  0.000  0.500  0.00
Li  0.500  0.000  0.000  0.01
O  0.000  0.000  0.000  -0.04